[1]
# Pr2Al5Ir3 PBE optimized geometry
# Energy of formation from the pure elements   -743.0 meV per atom
# Crystal system   orthorhombic
data_Pr2Al5Ir3
_symmetry_space_group_name_H-M 'C m c 21'
_symmetry_Int_Tables_number 36
_symmetry_space_group_name_Hall 'C 2c -2'
_cell_length_a 4.324
_cell_length_b 25.584
_cell_length_c 6.843
_cell_angle_alpha 90.00
_cell_angle_beta 90.00
_cell_angle_gamma 90.00
loop_
_atom_site_label
_atom_site_type_symbol
_atom_site_fract_x
_atom_site_fract_y
_atom_site_fract_z
Pr1 Pr 0.000 0.021 0.000
Pr2 Pr 0.000 0.324 0.048
Al1 Al 0.000 0.100 0.369
Al2 Al 0.000 0.207 0.865
Al3 Al 0.000 0.213 0.257
Al4 Al 0.000 0.371 0.526
Al5 Al 0.000 0.442 0.168
Ir1 Ir 0.000 0.109 0.749
Ir2 Ir 0.000 0.273 0.562
Ir3 Ir 0.000 0.448 0.786

***

[2]
# PrAl4Ir2 PBE optimized geometry
# Energy of formation from the pure elements   -759.2 meV per atom
# Crystal system   orthorhombic
data_PrAl4Ir2
_symmetry_space_group_name_H-M 'P n m a'
_symmetry_Int_Tables_number 62
_symmetry_space_group_name_Hall '-P 2ac 2n'
_cell_length_a 17.434
_cell_length_b 4.328
_cell_length_c 6.646
_cell_angle_alpha 90.00
_cell_angle_beta 90.00
_cell_angle_gamma 90.00
loop_
_atom_site_label
_atom_site_type_symbol
_atom_site_fract_x
_atom_site_fract_y
_atom_site_fract_z
Pr1 Pr 0.139 0.250 0.006
Al1 Al 0.032 0.750 0.841
Al2 Al 0.070 0.250 0.495
Al3 Al 0.188 0.750 0.312
Al4 Al 0.193 0.750 0.713
Ir1 Ir 0.038 0.750 0.246
Ir2 Ir 0.214 0.250 0.513

***

[3]
# Pr2Al4Ir3Pt PBE optimized geometry
# Energy of formation from the pure elements   -918.8 meV per atom
# Crystal system   tetragonal
data_Pr2Al4Ir3Pt
_symmetry_space_group_name_H-M 'P -4 m 2'
_symmetry_Int_Tables_number 115
_symmetry_space_group_name_Hall 'P -4 -2'
_cell_length_a 4.256
_cell_length_b 4.256
_cell_length_c 10.465
_cell_angle_alpha 90.00
_cell_angle_beta 90.00
_cell_angle_gamma 90.00
loop_
_atom_site_label
_atom_site_type_symbol
_atom_site_fract_x
_atom_site_fract_y
_atom_site_fract_z
Pr1 Pr 0.000 0.500 0.247
Al1 Al 0.000 0.000 0.500
Al2 Al 0.000 0.500 0.874
Al3 Al 0.500 0.500 0.500
Ir1 Ir 0.000 0.000 0.000
Ir2 Ir 0.000 0.500 0.633
Pt1 Pt 0.500 0.500 0.000

***

[4]
# PrAl4IrPt2 PBE optimized geometry
# Energy of formation from the pure elements   -900.6 meV per atom
# Crystal system   trigonal
data_PrAl4IrPt2
_symmetry_space_group_name_H-M 'R -3 m'
_symmetry_Int_Tables_number 166
_symmetry_space_group_name_Hall '-R 3 2"'
_cell_length_a 4.2674
_cell_length_b 4.2674
_cell_length_c 27.1084
_cell_angle_alpha 90.00
_cell_angle_beta 90.00
_cell_angle_gamma 120.00
loop_
_atom_site_label
_atom_site_type_symbol
_atom_site_fract_x
_atom_site_fract_y
_atom_site_fract_z
Pr1 Pr 0.0000 0.0000 0.0000
Al1 Al 0.0000 0.0000 0.1338
Al2 Al 0.0000 0.0000 0.4049
Ir1 Ir 0.0000 0.0000 0.5000
Pt1 Pt 0.0000 0.0000 0.2325

***

[5]
# Pr2Al3IrPt12 PBE optimized geometry
# Energy of formation from the pure elements   -438.3 meV per atom
# Crystal system   trigonal
data_Pr2Al3IrPt12
_symmetry_space_group_name_H-M 'R -3 m'
_symmetry_Int_Tables_number 166
_symmetry_space_group_name_Hall '-R 3 2"'
_cell_length_a 6.8118
_cell_length_b 6.8118
_cell_length_c 26.3076
_cell_angle_alpha 90.00
_cell_angle_beta 90.00
_cell_angle_gamma 120.00
loop_
_atom_site_label
_atom_site_type_symbol
_atom_site_fract_x
_atom_site_fract_y
_atom_site_fract_z
Pr1 Pr 0.0000 0.0000 0.1559
Al1 Al 0.0000 0.5000 0.0000
Ir1 Ir 0.0000 0.0000 0.5000
Pt1 Pt 0.0368 0.5184 0.0982
Pt2 Pt 0.0599 0.5299 0.6219

***

[6]
# PrAl4IrRh2 PBE optimized geometry
# Energy of formation from the pure elements   -861.6 meV per atom
# Crystal system   trigonal
data_PrAl4IrRh2
_symmetry_space_group_name_H-M 'R -3 m'
_symmetry_Int_Tables_number 166
_symmetry_space_group_name_Hall '-R 3 2"'
_cell_length_a 4.2241
_cell_length_b 4.2241
_cell_length_c 27.0483
_cell_angle_alpha 90.00
_cell_angle_beta 90.00
_cell_angle_gamma 120.00
loop_
_atom_site_label
_atom_site_type_symbol
_atom_site_fract_x
_atom_site_fract_y
_atom_site_fract_z
Pr1 Pr 0.0000 0.0000 0.0000
Al1 Al 0.0000 0.0000 0.1335
Al2 Al 0.0000 0.0000 0.4068
Ir1 Ir 0.0000 0.0000 0.5000
Rh1 Rh 0.0000 0.0000 0.2323

***

[7]
# Pr2AlSi4Ir3 PBE optimized geometry
# Calculated total energy   -7.052 eV per atom
# Crystal system   tetragonal
data_Pr2AlSi4Ir3
_symmetry_space_group_name_H-M 'P -4 m 2'
_symmetry_Int_Tables_number 115
_symmetry_space_group_name_Hall 'P -4 -2'
_cell_length_a 4.186
_cell_length_b 4.186
_cell_length_c 10.214
_cell_angle_alpha 90.00
_cell_angle_beta 90.00
_cell_angle_gamma 90.00
loop_
_atom_site_label
_atom_site_type_symbol
_atom_site_fract_x
_atom_site_fract_y
_atom_site_fract_z
Pr1 Pr 0.000 0.500 0.242
Al1 Al 0.000 0.000 0.500
Si1 Si 0.000 0.000 0.000
Si2 Si 0.000 0.500 0.643
Si3 Si 0.500 0.500 0.000
Ir1 Ir 0.000 0.500 0.880
Ir2 Ir 0.500 0.500 0.500

***

[8]
# PrAl2SiIr2 PBE optimized geometry
# Calculated total energy   -6.376 eV per atom
# Crystal system   tetragonal
data_PrAl2SiIr2
_symmetry_space_group_name_H-M 'P 4/m m m'
_symmetry_Int_Tables_number 123
_symmetry_space_group_name_Hall '-P 4 2'
_cell_length_a 4.551
_cell_length_b 4.551
_cell_length_c 5.661
_cell_angle_alpha 90.00
_cell_angle_beta 90.00
_cell_angle_gamma 90.00
loop_
_atom_site_label
_atom_site_type_symbol
_atom_site_fract_x
_atom_site_fract_y
_atom_site_fract_z
Pr1 Pr 0.000 0.000 0.000
Al1 Al 0.500 0.500 0.246
Si1 Si 0.000 0.000 0.500
Ir1 Ir 0.000 0.500 0.500

***

[9]
# Pr2TiAlIr2 PBE optimized geometry
# Energy of formation from the pure elements   -714.0 meV per atom
# Crystal system   orthorhombic
data_Pr2TiAlIr2
_symmetry_space_group_name_H-M 'I b a m'
_symmetry_Int_Tables_number 72
_symmetry_space_group_name_Hall '-I 2 2c'
_cell_length_a 5.911
_cell_length_b 13.907
_cell_length_c 6.348
_cell_angle_alpha 90.00
_cell_angle_beta 90.00
_cell_angle_gamma 90.00
loop_
_atom_site_label
_atom_site_type_symbol
_atom_site_fract_x
_atom_site_fract_y
_atom_site_fract_z
Pr1 Pr 0.243 0.176 0.000
Ti1 Ti 0.000 0.500 0.250
Al1 Al 0.000 0.000 0.250
Ir1 Ir 0.242 0.398 0.000

***

[10]
# PrAl4Zn2Ir PBE optimized geometry
# Energy of formation from the pure elements   -403.2 meV per atom
# Crystal system   trigonal
data_PrAl4Zn2Ir
_symmetry_space_group_name_H-M 'R -3 m'
_symmetry_Int_Tables_number 166
_symmetry_space_group_name_Hall '-R 3 2"'
_cell_length_a 4.3147
_cell_length_b 4.3147
_cell_length_c 27.9376
_cell_angle_alpha 90.00
_cell_angle_beta 90.00
_cell_angle_gamma 120.00
loop_
_atom_site_label
_atom_site_type_symbol
_atom_site_fract_x
_atom_site_fract_y
_atom_site_fract_z
Pr1 Pr 0.0000 0.0000 0.0000
Al1 Al 0.0000 0.0000 0.1371
Al2 Al 0.0000 0.0000 0.4105
Zn1 Zn 0.0000 0.0000 0.2636
Ir1 Ir 0.0000 0.0000 0.5000

***

[11]
# Pr2ZrAlIr2 PBE optimized geometry
# Energy of formation from the pure elements   -698.0 meV per atom
# Crystal system   orthorhombic
data_Pr2ZrAlIr2
_symmetry_space_group_name_H-M 'I b a m'
_symmetry_Int_Tables_number 72
_symmetry_space_group_name_Hall '-I 2 2c'
_cell_length_a 6.098
_cell_length_b 13.790
_cell_length_c 6.560
_cell_angle_alpha 90.00
_cell_angle_beta 90.00
_cell_angle_gamma 90.00
loop_
_atom_site_label
_atom_site_type_symbol
_atom_site_fract_x
_atom_site_fract_y
_atom_site_fract_z
Pr1 Pr 0.233 0.179 0.000
Zr1 Zr 0.000 0.500 0.250
Al1 Al 0.000 0.000 0.250
Ir1 Ir 0.245 0.105 0.500

***

[12]
# AlIr2Pt PBE optimized geometry
# Energy of formation from the pure elements   -337.5 meV per atom
# Crystal system   tetragonal
data_AlIr2Pt
_symmetry_space_group_name_H-M 'P 4/m m m'
_symmetry_Int_Tables_number 123
_symmetry_space_group_name_Hall '-P 4 2'
_cell_length_a 2.805
_cell_length_b 2.805
_cell_length_c 7.395
_cell_angle_alpha 90.00
_cell_angle_beta 90.00
_cell_angle_gamma 90.00
loop_
_atom_site_label
_atom_site_type_symbol
_atom_site_fract_x
_atom_site_fract_y
_atom_site_fract_z
Al1 Al 0.000 0.000 0.000
Ir1 Ir 0.500 0.500 0.230
Pt1 Pt 0.000 0.000 0.500

***

What are the DOS(E_F) values for these records? In order: 0.552; 0.557; 0.553; 0.466; 0.670; 0.358; 0.549; 0.996; 0.878; 0.310; 0.816; 1.142 states/eV per atom.
What are the density values for these records? In order: 8.716; 8.387; 10.176; 9.685; 13.647; 7.710; 9.258; 8.602; 9.434; 6.325; 9.446; 17.313 Mg/m³.